Computed, not measured: a relaxed YCuTeO6 crystal at the GGA-PBE level of DFT.

a = 4.883 Å, b = 4.883 Å, c = 9.579 Å
α = 90.00°, β = 90.00°, γ = 90.00°
Each line ends with the local moment (μB).
Atoms (fractional coordinates):
1 Y 0.500 0.500 0.172  0.01
2 Y 0.000 0.000 0.672  0.01
3 Cu 0.500 0.500 0.501  0.83
4 Cu 0.000 0.000 0.001  0.83
5 Te 0.500 0.500 0.834  0.00
6 Te 0.000 0.000 0.334  0.00
7 O 0.197 0.803 0.480  0.16
8 O 0.803 0.197 0.480  0.16
9 O 0.303 0.303 0.980  0.16
10 O 0.697 0.697 0.980  0.16
11 O 0.176 0.824 0.173  0.20
12 O 0.824 0.176 0.173  0.20
13 O 0.324 0.324 0.673  0.20
14 O 0.676 0.676 0.673  0.20
15 O 0.784 0.216 0.843  0.17
16 O 0.216 0.784 0.843  0.17
17 O 0.716 0.716 0.343  0.17
18 O 0.284 0.284 0.343  0.17

Computed, not measured: a relaxed Zn2CuTeO6 crystal at the GGA-PBE level of DFT.

a = 5.001 Å, b = 5.127 Å, c = 8.791 Å
α = 90.00°, β = 90.26°, γ = 90.00°
Each line ends with the local moment (μB).
Atoms (fractional coordinates):
1 Zn 0.979 0.960 0.236  0.01
2 Zn 0.521 0.460 0.264  0.01
3 Zn 0.479 0.540 0.736  0.01
4 Zn 0.021 0.040 0.764  0.01
5 Cu 0.000 0.500 0.000  0.58
6 Cu 0.500 0.000 0.500  0.58
7 Te 0.000 0.500 0.500  0.01
8 Te 0.500 0.000 0.000  0.01
9 O 0.846 0.387 0.692  0.02
10 O 0.815 0.198 0.058  0.07
11 O 0.808 0.209 0.392  0.10
12 O 0.692 0.709 0.108  0.10
13 O 0.685 0.698 0.442  0.07
14 O 0.654 0.887 0.808  0.02
15 O 0.346 0.113 0.192  0.02
16 O 0.315 0.302 0.558  0.07
17 O 0.308 0.291 0.892  0.10
18 O 0.185 0.802 0.942  0.07
19 O 0.192 0.791 0.608  0.10
20 O 0.154 0.613 0.308  0.02

Computed, not measured: a relaxed ZnCuTe2O8 crystal at the GGA-PBE level of DFT.

a = 5.882 Å, b = 5.882 Å, c = 5.882 Å
α = 109.78°, β = 109.78°, γ = 108.85°
Each line ends with the local moment (μB).
Atoms (fractional coordinates):
1 Zn 0.250 0.750 0.500  0.00
2 Cu 0.000 0.000 0.000  0.61
3 Te 0.750 0.250 0.500  0.01
4 Te 0.500 0.500 0.000  0.00
5 O 0.363 0.067 0.295  0.07
6 O 0.321 0.525 0.204  0.02
7 O 0.321 0.117 0.796  0.02
8 O 0.772 0.067 0.705  0.07
9 O 0.883 0.679 0.204  0.02
10 O 0.933 0.228 0.295  0.07
11 O 0.933 0.637 0.705  0.07
12 O 0.475 0.679 0.796  0.02

Computed, not measured: a relaxed ZnCu2TeO crystal at the GGA-PBE level of DFT.

a = 4.905 Å, b = 3.558 Å, c = 4.905 Å
α = 90.00°, β = 90.00°, γ = 90.00°
Atoms (fractional coordinates):
1 Zn 0.000 0.000 0.000
2 Te 0.500 0.500 0.500
3 O 0.000 0.500 0.000
4 Cu 0.000 0.000 0.500
5 Cu 0.500 0.000 0.000

Computed, not measured: a relaxed ZnCuTeO6 crystal at the GGA-PBE level of DFT.

a = 4.668 Å, b = 4.668 Å, c = 9.129 Å
α = 90.00°, β = 90.00°, γ = 90.00°
Atoms (fractional coordinates):
1 Zn 0.500 0.500 0.168
2 Zn 0.000 0.000 0.668
3 Cu 0.500 0.500 0.501
4 Cu 0.000 0.000 0.001
5 Te 0.500 0.500 0.835
6 Te 0.000 0.000 0.335
7 O 0.193 0.807 0.495
8 O 0.807 0.193 0.495
9 O 0.307 0.307 0.995
10 O 0.693 0.693 0.995
11 O 0.184 0.816 0.166
12 O 0.816 0.184 0.166
13 O 0.316 0.316 0.666
14 O 0.684 0.684 0.666
15 O 0.803 0.197 0.837
16 O 0.197 0.803 0.837
17 O 0.697 0.697 0.337
18 O 0.303 0.303 0.337

Computed, not measured: a relaxed Th4Cu2O crystal at the GGA-PBE level of DFT.

a = 4.887 Å, b = 4.887 Å, c = 7.914 Å
α = 107.98°, β = 107.98°, γ = 90.00°
Atoms (fractional coordinates):
1 O 0.000 0.000 0.000
2 Cu 0.623 0.623 0.245
3 Cu 0.377 0.377 0.755
4 Th 0.815 0.815 0.631
5 Th 0.185 0.185 0.369
6 Th 0.000 0.500 0.000
7 Th 0.500 0.000 0.000

These records have E_form (uncorrected) values of -1.4453 -1.0412 -0.6050 0.1864 -0.7374 -0.6423 eV per atom, in the order they appear.